No. 1
Below is a geometry-optimized Ac12Tb3Pm structure, with properties calculated at the PBE level.

Structure (CIF):
```
data_Ac12Tb3Pm
_chemical_formula_sum 'Ac12 Tb3 Pm1'
_symmetry_space_group_name_H-M 'P 4/m m m'
_symmetry_Int_Tables_number 123
_symmetry_space_group_name_Hall '-P 4 2'
_cell_length_a 5.502
_cell_length_b 5.502
_cell_length_c 21.973
_cell_angle_alpha 90.00
_cell_angle_beta 90.00
_cell_angle_gamma 90.00
loop_
_atom_site_label
_atom_site_type_symbol
_atom_site_fract_x
_atom_site_fract_y
_atom_site_fract_z
Ac1 Ac 0.000 0.000 0.000
Ac2 Ac 0.000 0.000 0.249
Ac3 Ac 0.000 0.000 0.500
Ac4 Ac 0.000 0.500 0.125
Ac5 Ac 0.000 0.500 0.374
Tb1 Tb 0.500 0.500 0.000
Tb2 Tb 0.500 0.500 0.249
Pm1 Pm 0.500 0.500 0.500
```

* density: 8.35 g cm⁻³
* E_form: 32 meV per atom

No. 2
Below is a geometry-optimized Ac2TbPm7 structure, with properties calculated at the PBE level.

Structure (CIF):
```
data_Ac2TbPm7
_chemical_formula_sum 'Ac4 Tb2 Pm14'
_symmetry_space_group_name_H-M 'C m m m'
_symmetry_Int_Tables_number 65
_symmetry_space_group_name_Hall '-C 2 2'
_cell_length_a 12.283
_cell_length_b 17.485
_cell_length_c 3.623
_cell_angle_alpha 90.00
_cell_angle_beta 90.00
_cell_angle_gamma 90.00
loop_
_atom_site_label
_atom_site_type_symbol
_atom_site_fract_x
_atom_site_fract_y
_atom_site_fract_z
Ac1 Ac 0.000 0.176 0.000
Tb1 Tb 0.000 0.000 0.500
Pm1 Pm 0.000 0.338 0.500
Pm2 Pm 0.000 0.500 0.000
Pm3 Pm 0.241 0.385 0.000
```

* density: 6.95 g cm⁻³
* E_form: 441 meV per atom

No. 3
Below is a geometry-optimized AcTb6Pm2 structure, with properties calculated at the PBE level.

Structure (CIF):
```
data_AcTb6Pm2
_chemical_formula_sum 'Ac2 Tb12 Pm4'
_symmetry_space_group_name_H-M 'P 1 21/c 1'
_symmetry_Int_Tables_number 14
_cell_length_a 8.747
_cell_length_b 5.976
_cell_length_c 12.753
_cell_angle_alpha 90.00
_cell_angle_beta 103.18
_cell_angle_gamma 90.00
loop_
_symmetry_equiv_pos_as_xyz
'x,y,z'
'-x,-y,-z'
'-x,y+1/2,-z+1/2'
'x,-y+1/2,z+1/2'
loop_
_atom_site_label
_atom_site_type_symbol
_atom_site_fract_x
_atom_site_fract_y
_atom_site_fract_z
Ac1 Ac 0.000 0.000 0.000
Tb1 Tb 0.134 0.236 0.261
Tb2 Tb 0.280 0.705 0.374
Tb3 Tb 0.342 0.156 0.537
Pm1 Pm 0.441 0.663 0.664
```

* density: 7.53 g cm⁻³
* E_form: 252 meV per atom

No. 4
Below is a geometry-optimized AcTbPm structure, with properties calculated at the PBE level.

Structure (CIF):
```
data_AcTbPm
_chemical_formula_sum 'Ac2 Tb2 Pm2'
_symmetry_space_group_name_H-M 'I 4 m m'
_symmetry_Int_Tables_number 107
_symmetry_space_group_name_Hall 'I 4 -2'
_cell_length_a 3.767
_cell_length_b 3.767
_cell_length_c 15.610
_cell_angle_alpha 90.00
_cell_angle_beta 90.00
_cell_angle_gamma 90.00
loop_
_atom_site_label
_atom_site_type_symbol
_atom_site_fract_x
_atom_site_fract_y
_atom_site_fract_z
Ac1 Ac 0.000 0.000 0.000
Tb1 Tb 0.000 0.000 0.671
Pm1 Pm 0.000 0.000 0.326
```

* density: 7.96 g cm⁻³
* E_form: 46 meV per atom

No. 5
Below is a geometry-optimized Ac8Tb5Pm structure, with properties calculated at the PBE level.

Structure (CIF):
```
data_Ac8Tb5Pm
_chemical_formula_sum 'Ac16 Tb10 Pm2'
_symmetry_space_group_name_H-M 'I -4'
_symmetry_Int_Tables_number 82
_cell_length_a 10.223
_cell_length_b 10.223
_cell_length_c 10.906
_cell_angle_alpha 90.00
_cell_angle_beta 90.00
_cell_angle_gamma 90.00
loop_
_symmetry_equiv_pos_as_xyz
'x,y,z'
'y,-x,-z'
'-x,-y,z'
'-y,x,-z'
'x+1/2,y+1/2,z+1/2'
'y+1/2,-x+1/2,-z+1/2'
'-x+1/2,-y+1/2,z+1/2'
'-y+1/2,x+1/2,-z+1/2'
loop_
_atom_site_label
_atom_site_type_symbol
_atom_site_fract_x
_atom_site_fract_y
_atom_site_fract_z
Ac1 Ac 0.068 0.173 0.157
Ac2 Ac 0.089 0.318 0.498
Tb1 Tb 0.000 0.500 0.250
Tb2 Tb 0.102 0.303 0.822
Pm1 Pm 0.000 0.000 0.500
```

* density: 8.03 g cm⁻³
* E_form: 261 meV per atom

No. 6
Below is a geometry-optimized Ac2Tb3Pm7 structure, with properties calculated at the PBE level.

Structure (CIF):
```
data_Ac2Tb3Pm7
_chemical_formula_sum 'Ac2 Tb3 Pm7'
_symmetry_space_group_name_H-M 'P 1 2/m 1'
_symmetry_Int_Tables_number 10
_cell_length_a 6.507
_cell_length_b 3.647
_cell_length_c 18.114
_cell_angle_alpha 90.00
_cell_angle_beta 96.36
_cell_angle_gamma 90.00
loop_
_symmetry_equiv_pos_as_xyz
'x,y,z'
'-x,-y,-z'
'-x,y,-z'
'x,-y,z'
loop_
_atom_site_label
_atom_site_type_symbol
_atom_site_fract_x
_atom_site_fract_y
_atom_site_fract_z
Ac1 Ac 0.059 0.000 0.173
Tb1 Tb 0.451 0.500 0.840
Tb2 Tb 0.500 0.000 0.500
Pm1 Pm 0.000 0.500 0.500
Pm2 Pm 0.231 0.000 0.665
Pm3 Pm 0.261 0.000 0.998
Pm4 Pm 0.279 0.500 0.340
```

* density: 7.56 g cm⁻³
* E_form: 89 meV per atom

No. 7
Below is a geometry-optimized Ac8TbPm2 structure, with properties calculated at the PBE level.

Structure (CIF):
```
data_Ac8TbPm2
_chemical_formula_sum 'Ac16 Tb2 Pm4'
_symmetry_space_group_name_H-M 'C 1 2/m 1'
_symmetry_Int_Tables_number 12
_cell_length_a 19.723
_cell_length_b 5.554
_cell_length_c 8.702
_cell_angle_alpha 90.00
_cell_angle_beta 105.44
_cell_angle_gamma 90.00
loop_
_symmetry_equiv_pos_as_xyz
'x,y,z'
'-x,-y,-z'
'-x,y,-z'
'x,-y,z'
'x+1/2,y+1/2,z'
'-x+1/2,-y+1/2,-z'
'-x+1/2,y+1/2,-z'
'x+1/2,-y+1/2,z'
loop_
_atom_site_label
_atom_site_type_symbol
_atom_site_fract_x
_atom_site_fract_y
_atom_site_fract_z
Ac1 Ac 0.047 0.000 0.230
Ac2 Ac 0.093 0.500 0.952
Ac3 Ac 0.138 0.000 0.688
Ac4 Ac 0.181 0.500 0.414
Tb1 Tb 0.000 0.500 0.500
Pm1 Pm 0.226 0.000 0.133
```

* density: 8.19 g cm⁻³
* E_form: 39 meV per atom

No. 8
Below is a geometry-optimized Ac4Tb3Pm structure, with properties calculated at the PBE level.

Structure (CIF):
```
data_Ac4Tb3Pm
_chemical_formula_sum 'Ac8 Tb6 Pm2'
_symmetry_space_group_name_H-M 'P m n 21'
_symmetry_Int_Tables_number 31
_cell_length_a 10.845
_cell_length_b 7.521
_cell_length_c 7.522
_cell_angle_alpha 90.00
_cell_angle_beta 90.00
_cell_angle_gamma 90.00
loop_
_symmetry_equiv_pos_as_xyz
'x,y,z'
'-x+1/2,-y,z+1/2'
'-x,y,z'
'x+1/2,-y,z+1/2'
loop_
_atom_site_label
_atom_site_type_symbol
_atom_site_fract_x
_atom_site_fract_y
_atom_site_fract_z
Ac1 Ac 0.000 0.001 0.000
Ac2 Ac 0.000 0.499 0.498
Ac3 Ac 0.249 0.750 0.749
Tb1 Tb 0.000 0.000 0.499
Tb2 Tb 0.250 0.248 0.749
Pm1 Pm 0.000 0.500 0.000
```

* density: 8.28 g cm⁻³
* E_form: 53 meV per atom

No. 9
Below is a geometry-optimized Ac3Tb2Pm structure, with properties calculated at the PBE level.

Structure (CIF):
```
data_Ac3Tb2Pm
_chemical_formula_sum 'Ac12 Tb8 Pm4'
_symmetry_space_group_name_H-M 'C 1 2/c 1'
_symmetry_Int_Tables_number 15
_cell_length_a 10.817
_cell_length_b 7.563
_cell_length_c 12.582
_cell_angle_alpha 90.00
_cell_angle_beta 115.43
_cell_angle_gamma 90.00
loop_
_symmetry_equiv_pos_as_xyz
'x,y,z'
'-x,-y,-z'
'-x,y,-z+1/2'
'x,-y,z+1/2'
'x+1/2,y+1/2,z'
'-x+1/2,-y+1/2,-z'
'-x+1/2,y+1/2,-z+1/2'
'x+1/2,-y+1/2,z+1/2'
loop_
_atom_site_label
_atom_site_type_symbol
_atom_site_fract_x
_atom_site_fract_y
_atom_site_fract_z
Ac1 Ac 0.000 0.125 0.250
Ac2 Ac 0.167 0.375 0.084
Tb1 Tb 0.166 0.125 0.583
Pm1 Pm 0.000 0.375 0.750
```

* density: 8.17 g cm⁻³
* E_form: 60 meV per atom

No. 10
Below is a geometry-optimized AcTb4Pm3 structure, with properties calculated at the PBE level.

Structure (CIF):
```
data_AcTb4Pm3
_chemical_formula_sum 'Ac2 Tb8 Pm6'
_symmetry_space_group_name_H-M 'I m m m'
_symmetry_Int_Tables_number 71
_symmetry_space_group_name_Hall '-I 2 2'
_cell_length_a 3.511
_cell_length_b 11.834
_cell_length_c 13.327
_cell_angle_alpha 90.00
_cell_angle_beta 90.00
_cell_angle_gamma 90.00
loop_
_atom_site_label
_atom_site_type_symbol
_atom_site_fract_x
_atom_site_fract_y
_atom_site_fract_z
Ac1 Ac 0.000 0.000 0.000
Tb1 Tb 0.000 0.254 0.136
Pm1 Pm 0.000 0.000 0.500
Pm2 Pm 0.000 0.500 0.257
```

* density: 7.78 g cm⁻³
* E_form: 152 meV per atom

No. 11
Below is a geometry-optimized AcTb3Pm4 structure, with properties calculated at the PBE level.

Structure (CIF):
```
data_AcTb3Pm4
_chemical_formula_sum 'Ac2 Tb6 Pm8'
_symmetry_space_group_name_H-M 'I m m m'
_symmetry_Int_Tables_number 71
_symmetry_space_group_name_Hall '-I 2 2'
_cell_length_a 3.541
_cell_length_b 11.931
_cell_length_c 13.212
_cell_angle_alpha 90.00
_cell_angle_beta 90.00
_cell_angle_gamma 90.00
loop_
_atom_site_label
_atom_site_type_symbol
_atom_site_fract_x
_atom_site_fract_y
_atom_site_fract_z
Ac1 Ac 0.000 0.000 0.000
Tb1 Tb 0.000 0.000 0.500
Tb2 Tb 0.000 0.500 0.258
Pm1 Pm 0.000 0.254 0.135
```

* density: 7.64 g cm⁻³
* E_form: 148 meV per atom

No. 12
Below is a geometry-optimized Ac2Tb5Pm12 structure, with properties calculated at the PBE level.

Structure (CIF):
```
data_Ac2Tb5Pm12
_chemical_formula_sum 'Ac4 Tb10 Pm24'
_symmetry_space_group_name_H-M 'C 1 2/m 1'
_symmetry_Int_Tables_number 12
_cell_length_a 16.609
_cell_length_b 10.058
_cell_length_c 8.040
_cell_angle_alpha 90.00
_cell_angle_beta 90.46
_cell_angle_gamma 90.00
loop_
_symmetry_equiv_pos_as_xyz
'x,y,z'
'-x,-y,-z'
'-x,y,-z'
'x,-y,z'
'x+1/2,y+1/2,z'
'-x+1/2,-y+1/2,-z'
'-x+1/2,y+1/2,-z'
'x+1/2,-y+1/2,z'
loop_
_atom_site_label
_atom_site_type_symbol
_atom_site_fract_x
_atom_site_fract_y
_atom_site_fract_z
Ac1 Ac 0.000 0.208 0.000
Tb1 Tb 0.000 0.000 0.500
Tb2 Tb 0.146 0.500 0.918
Tb3 Tb 0.248 0.000 0.509
Pm1 Pm 0.051 0.500 0.291
Pm2 Pm 0.107 0.273 0.606
Pm3 Pm 0.168 0.000 0.874
Pm4 Pm 0.196 0.232 0.206
```

* density: 7.39 g cm⁻³
* E_form: 120 meV per atom

Question: Which of these has the lowest E_form?
Answer: Ac12Tb3Pm

Question: What is the formula in the first record?
Answer: Ac12Tb3Pm

Question: Which of these has the lowest density?
Answer: Ac2TbPm7